(1)
Zr3RePb meta-GGA SCAN single point on PBEsol structure; DOS(E_F) = 1.36 states/eV/atom; E = -46.0306 eV per atom; formation energy from the elements = 1.764 eV/atom
1.0
-2.7118 -1.4428 4.1581
-2.2566 -3.7375 -2.7685
3.7788 -3.2673 1.3307
Pb Re Zr
1 1 3
Direct
0.0000 0.0000 0.0000
0.5000 0.5000 0.5000
0.0000 0.5000 0.0000
0.0000 0.0000 0.5000
0.5000 0.0000 0.0000

(2)
ZrRePb meta-GGA SCAN single point on PBEsol structure; DOS(E_F) = 0.66 states/eV/atom; E = -58.3541 eV per atom; formation energy from the elements = 0.838 eV/atom
1.0
-0.7563 -0.5494 -4.4587
-4.1602 -1.1153 -1.4842
-2.4992 3.0516 -2.2794
Pb Re Zr
1 1 1
Direct
0.2500 0.2500 0.2500
0.0000 0.0000 0.0000
0.5000 0.5000 0.5000

(3)
Zr2RePb meta-GGA SCAN single point on PBEsol structure; DOS(E_F) = 0.64 states/eV/atom; E = -52.2430 eV per atom; formation energy from the elements = -0.174 eV/atom
1.0
-0.5858 -2.5932 2.0051
-2.3161 -2.0593 -3.3398
4.7719 -1.3313 -2.4884
Pb Re Zr
1 1 2
Direct
0.3210 0.0000 0.4681
0.4292 0.5000 0.8175
0.9957 0.0000 0.9219
0.7541 0.5000 0.2925

- Which of these has the lowest formation energy from the elements?
  Zr2RePb

- Which of these has the lowest E?
  ZrRePb

- Which of these has the highest formation energy from the elements?
  Zr3RePb